CaZnPb2 | PBE | optimized geometry

```
data_CaZnPb2
_chemical_formula_sum 'Ca2 Zn2 Pb4'
_symmetry_space_group_name_H-M 'P 1'
_symmetry_Int_Tables_number 1
_cell_length_a 5.015
_cell_length_b 5.015
_cell_length_c 10.487
_cell_angle_alpha 76.17
_cell_angle_beta 76.17
_cell_angle_gamma 90.00
loop_
_symmetry_equiv_pos_as_xyz
'x,y,z'
loop_
_atom_site_label
_atom_site_type_symbol
_atom_site_fract_x
_atom_site_fract_y
_atom_site_fract_z
_atom_site_occupancy
Zn1 Zn 0.000 0.000 0.000 1
Pb1 Pb 0.375 0.322 0.750 1
Pb2 Pb 0.678 0.125 0.250 1
Ca1 Ca 0.500 0.500 0.000 1
Zn2 Zn 0.750 0.250 0.500 1
Pb3 Pb 0.072 0.625 0.250 1
Ca2 Ca 0.250 0.750 0.500 1
Pb4 Pb 0.875 0.928 0.750 1
```

formation energy from the elements = -55 meV per atom
crystal system = tetragonal
total moment = 0.000 μB/f.u.

***

CaZn2Pb2 | PBE | optimized geometry

```
data_CaZn2Pb2
_chemical_formula_sum 'Ca1 Zn2 Pb2'
_symmetry_space_group_name_H-M 'P 1'
_symmetry_Int_Tables_number 1
_cell_length_a 4.414
_cell_length_b 4.414
_cell_length_c 7.446
_cell_angle_alpha 72.76
_cell_angle_beta 72.76
_cell_angle_gamma 90.00
loop_
_symmetry_equiv_pos_as_xyz
'x,y,z'
loop_
_atom_site_label
_atom_site_type_symbol
_atom_site_fract_x
_atom_site_fract_y
_atom_site_fract_z
_atom_site_occupancy
Pb1 Pb 0.616 0.616 0.767 1
Ca1 Ca 0.000 0.000 0.000 1
Pb2 Pb 0.384 0.384 0.233 1
Zn1 Zn 0.250 0.750 0.500 1
Zn2 Zn 0.750 0.250 0.500 1
```

formation energy from the elements = -79 meV per atom
crystal system = tetragonal
energy above the most stable polymorph in this dataset = 0.0750 eV per atom
total moment = 0.000 μB/f.u.

***

CaZn3Pb | PBE | optimized geometry

```
data_CaZn3Pb
_chemical_formula_sum 'Ca1 Zn3 Pb1'
_symmetry_space_group_name_H-M 'P 1'
_symmetry_Int_Tables_number 1
_cell_length_a 5.456
_cell_length_b 5.456
_cell_length_c 5.456
_cell_angle_alpha 90.00
_cell_angle_beta 90.00
_cell_angle_gamma 90.00
loop_
_symmetry_equiv_pos_as_xyz
'x,y,z'
loop_
_atom_site_label
_atom_site_type_symbol
_atom_site_fract_x
_atom_site_fract_y
_atom_site_fract_z
_atom_site_occupancy
Ca1 Ca 0.000 0.000 0.000 1
Pb1 Pb 0.500 0.500 0.500 1
Zn1 Zn 0.000 0.500 0.000 1
Zn2 Zn 0.000 0.000 0.500 1
Zn3 Zn 0.500 0.000 0.000 1
```

formation energy from the elements = 709 meV per atom
crystal system = cubic
energy above the most stable polymorph in this dataset = 0.3285 eV per atom
total moment = 0.000 μB/f.u.

***

CaZn4Pb | PBE | optimized geometry

```
data_CaZn4Pb
_chemical_formula_sum 'Ca1 Zn4 Pb1'
_symmetry_space_group_name_H-M 'P 1'
_symmetry_Int_Tables_number 1
_cell_length_a 5.578
_cell_length_b 5.578
_cell_length_c 5.578
_cell_angle_alpha 60.00
_cell_angle_beta 60.00
_cell_angle_gamma 60.00
loop_
_symmetry_equiv_pos_as_xyz
'x,y,z'
loop_
_atom_site_label
_atom_site_type_symbol
_atom_site_fract_x
_atom_site_fract_y
_atom_site_fract_z
_atom_site_occupancy
Pb1 Pb 0.000 0.000 0.000 1
Ca1 Ca 0.750 0.750 0.750 1
Zn1 Zn 0.872 0.376 0.376 1
Zn2 Zn 0.376 0.376 0.872 1
Zn3 Zn 0.376 0.872 0.376 1
Zn4 Zn 0.376 0.376 0.376 1
```

formation energy from the elements = -124 meV per atom
crystal system = cubic
total moment = 0.000 μB/f.u.

***

Ca3ZnPb | PBE | optimized geometry

```
data_Ca3ZnPb
_chemical_formula_sum 'Ca3 Zn1 Pb1'
_symmetry_space_group_name_H-M 'P 1'
_symmetry_Int_Tables_number 1
_cell_length_a 6.015
_cell_length_b 6.015
_cell_length_c 6.015
_cell_angle_alpha 90.00
_cell_angle_beta 90.00
_cell_angle_gamma 90.00
loop_
_symmetry_equiv_pos_as_xyz
'x,y,z'
loop_
_atom_site_label
_atom_site_type_symbol
_atom_site_fract_x
_atom_site_fract_y
_atom_site_fract_z
_atom_site_occupancy
Pb1 Pb 0.000 0.000 0.000 1
Ca1 Ca 0.000 0.000 0.500 1
Zn1 Zn 0.500 0.500 0.500 1
Ca2 Ca 0.500 0.000 0.000 1
Ca3 Ca 0.000 0.500 0.000 1
```

formation energy from the elements = 68 meV per atom
crystal system = cubic
total moment = 0.000 μB/f.u.

***

Ca6Zn2Pb | PBE | optimized geometry

```
data_Ca6Zn2Pb
_chemical_formula_sum 'Ca12 Zn4 Pb2'
_symmetry_space_group_name_H-M 'P 1'
_symmetry_Int_Tables_number 1
_cell_length_a 9.024
_cell_length_b 9.024
_cell_length_c 9.024
_cell_angle_alpha 107.29
_cell_angle_beta 109.98
_cell_angle_gamma 111.17
loop_
_symmetry_equiv_pos_as_xyz
'x,y,z'
loop_
_atom_site_label
_atom_site_type_symbol
_atom_site_fract_x
_atom_site_fract_y
_atom_site_fract_z
_atom_site_occupancy
Ca1 Ca 0.710 0.035 0.325 1
Zn1 Zn 0.636 0.000 0.636 1
Ca2 Ca 0.710 0.385 0.675 1
Pb1 Pb 0.000 0.500 0.500 1
Ca3 Ca 0.796 0.755 0.551 1
Ca4 Ca 0.290 0.965 0.675 1
Zn2 Zn 0.500 0.618 0.118 1
Ca5 Ca 0.796 0.245 0.042 1
Ca6 Ca 0.457 0.274 0.183 1
Pb2 Pb 0.000 0.000 0.000 1
Ca7 Ca 0.204 0.755 0.958 1
Ca8 Ca 0.543 0.726 0.817 1
Ca9 Ca 0.909 0.726 0.183 1
Zn3 Zn 0.500 0.382 0.882 1
Ca10 Ca 0.091 0.274 0.817 1
Ca11 Ca 0.290 0.615 0.325 1
Zn4 Zn 0.364 0.000 0.364 1
Ca12 Ca 0.204 0.245 0.449 1
```

formation energy from the elements = -289 meV per atom
crystal system = orthorhombic
total moment = 0.000 μB/f.u.

***

CaZn2Pb2 | PBE | optimized geometry

```
data_CaZn2Pb2
_chemical_formula_sum 'Ca1 Zn2 Pb2'
_symmetry_space_group_name_H-M 'P 1'
_symmetry_Int_Tables_number 1
_cell_length_a 4.772
_cell_length_b 4.772
_cell_length_c 6.678
_cell_angle_alpha 69.07
_cell_angle_beta 69.07
_cell_angle_gamma 90.00
loop_
_symmetry_equiv_pos_as_xyz
'x,y,z'
loop_
_atom_site_label
_atom_site_type_symbol
_atom_site_fract_x
_atom_site_fract_y
_atom_site_fract_z
_atom_site_occupancy
Zn1 Zn 0.396 0.396 0.208 1
Pb1 Pb 0.750 0.250 0.500 1
Ca1 Ca 0.000 0.000 0.000 1
Pb2 Pb 0.250 0.750 0.500 1
Zn2 Zn 0.604 0.604 0.792 1
```

formation energy from the elements = -154 meV per atom
crystal system = tetragonal
energy above the most stable polymorph in this dataset = 0.0000 eV per atom
total moment = 0.000 μB/f.u.

***

CaZn2Pb | PBE | optimized geometry

```
data_CaZn2Pb
_chemical_formula_sum 'Ca1 Zn2 Pb1'
_symmetry_space_group_name_H-M 'P 1'
_symmetry_Int_Tables_number 1
_cell_length_a 4.551
_cell_length_b 4.553
_cell_length_c 4.447
_cell_angle_alpha 90.00
_cell_angle_beta 90.00
_cell_angle_gamma 90.00
loop_
_symmetry_equiv_pos_as_xyz
'x,y,z'
loop_
_atom_site_label
_atom_site_type_symbol
_atom_site_fract_x
_atom_site_fract_y
_atom_site_fract_z
_atom_site_occupancy
Pb1 Pb 0.000 0.500 0.500 1
Zn1 Zn 0.500 0.500 0.000 1
Zn2 Zn 0.000 0.000 0.000 1
Ca1 Ca 0.500 0.000 0.500 1
```

formation energy from the elements = -149 meV per atom
crystal system = tetragonal
total moment = 0.000 μB/f.u.

***

Ca3ZnPb3 | PBE | optimized geometry

```
data_Ca3ZnPb3
_chemical_formula_sum 'Ca6 Zn2 Pb6'
_symmetry_space_group_name_H-M 'P 1'
_symmetry_Int_Tables_number 1
_cell_length_a 4.793
_cell_length_b 6.324
_cell_length_c 15.013
_cell_angle_alpha 83.30
_cell_angle_beta 80.82
_cell_angle_gamma 67.74
loop_
_symmetry_equiv_pos_as_xyz
'x,y,z'
loop_
_atom_site_label
_atom_site_type_symbol
_atom_site_fract_x
_atom_site_fract_y
_atom_site_fract_z
_atom_site_occupancy
Zn1 Zn 0.230 0.921 0.619 1
Ca1 Ca 0.595 0.730 0.080 1
Pb1 Pb 0.985 0.796 0.234 1
Ca2 Ca 0.731 0.769 0.770 1
Ca3 Ca 0.526 0.331 0.618 1
Pb2 Pb 0.015 0.204 0.766 1
Ca4 Ca 0.269 0.231 0.230 1
Pb3 Pb 0.125 0.826 0.924 1
Ca5 Ca 0.405 0.270 0.920 1
Zn2 Zn 0.770 0.079 0.381 1
Pb4 Pb 0.852 0.752 0.543 1
Pb5 Pb 0.875 0.174 0.076 1
Ca6 Ca 0.474 0.669 0.382 1
Pb6 Pb 0.148 0.248 0.457 1
```

formation energy from the elements = -431 meV per atom
crystal system = monoclinic
total moment = 0.000 μB/f.u.

***

CaZnPb2 | PBE | optimized geometry

```
data_CaZnPb2
_chemical_formula_sum 'Ca1 Zn1 Pb2'
_symmetry_space_group_name_H-M 'P 1'
_symmetry_Int_Tables_number 1
_cell_length_a 5.446
_cell_length_b 5.446
_cell_length_c 5.446
_cell_angle_alpha 60.00
_cell_angle_beta 60.00
_cell_angle_gamma 60.00
loop_
_symmetry_equiv_pos_as_xyz
'x,y,z'
loop_
_atom_site_label
_atom_site_type_symbol
_atom_site_fract_x
_atom_site_fract_y
_atom_site_fract_z
_atom_site_occupancy
Ca1 Ca 0.500 0.500 0.500 1
Pb1 Pb 0.000 0.000 0.000 1
Pb2 Pb 0.250 0.250 0.250 1
Zn1 Zn 0.750 0.750 0.750 1
```

formation energy from the elements = -164 meV per atom
crystal system = cubic
total moment = 0.000 μB/f.u.

***

CaZnPb2 | PBE | optimized geometry

```
data_CaZnPb2
_chemical_formula_sum 'Ca1 Zn1 Pb2'
_symmetry_space_group_name_H-M 'P 1'
_symmetry_Int_Tables_number 1
_cell_length_a 5.956
_cell_length_b 5.956
_cell_length_c 5.956
_cell_angle_alpha 133.51
_cell_angle_beta 133.51
_cell_angle_gamma 67.85
loop_
_symmetry_equiv_pos_as_xyz
'x,y,z'
loop_
_atom_site_label
_atom_site_type_symbol
_atom_site_fract_x
_atom_site_fract_y
_atom_site_fract_z
_atom_site_occupancy
Pb1 Pb 0.000 0.000 0.000 1
Ca1 Ca 0.750 0.250 0.500 1
Pb2 Pb 0.500 0.500 0.000 1
Zn1 Zn 0.250 0.750 0.500 1
```

formation energy from the elements = -184 meV per atom
crystal system = tetragonal
total moment = 0.000 μB/f.u.

***

CaZrZn2Pb | PBE | optimized geometry

```
data_CaZrZn2Pb
_chemical_formula_sum 'Ca1 Zr1 Zn2 Pb1'
_symmetry_space_group_name_H-M 'P 1'
_symmetry_Int_Tables_number 1
_cell_length_a 5.233
_cell_length_b 5.569
_cell_length_c 5.233
_cell_angle_alpha 90.00
_cell_angle_beta 90.00
_cell_angle_gamma 90.00
loop_
_symmetry_equiv_pos_as_xyz
'x,y,z'
loop_
_atom_site_label
_atom_site_type_symbol
_atom_site_fract_x
_atom_site_fract_y
_atom_site_fract_z
_atom_site_occupancy
Pb1 Pb 0.000 0.500 0.000 1
Zr1 Zr 0.000 0.000 0.000 1
Ca1 Ca 0.500 0.500 0.500 1
Zn1 Zn 0.000 0.000 0.500 1
Zn2 Zn 0.500 0.000 0.000 1
```

formation energy from the elements = 279 meV per atom
crystal system = tetragonal
total moment = 0.000 μB/f.u.

***

CaZr3Pb | PBE | optimized geometry

```
data_CaZr3Pb
_chemical_formula_sum 'Ca1 Zr3 Pb1'
_symmetry_space_group_name_H-M 'P 1'
_symmetry_Int_Tables_number 1
_cell_length_a 5.494
_cell_length_b 5.494
_cell_length_c 5.494
_cell_angle_alpha 90.00
_cell_angle_beta 90.00
_cell_angle_gamma 90.00
loop_
_symmetry_equiv_pos_as_xyz
'x,y,z'
loop_
_atom_site_label
_atom_site_type_symbol
_atom_site_fract_x
_atom_site_fract_y
_atom_site_fract_z
_atom_site_occupancy
Ca1 Ca 0.500 0.500 0.500 1
Zr1 Zr 0.000 0.500 0.000 1
Pb1 Pb 0.000 0.000 0.000 1
Zr2 Zr 0.500 0.000 0.000 1
Zr3 Zr 0.000 0.000 0.500 1
```

formation energy from the elements = 863 meV per atom
crystal system = cubic
energy above the most stable polymorph in this dataset = 0.0000 eV per atom
total moment = 0.000 μB/f.u.

***

CaZrPb2 | PBE | optimized geometry

```
data_CaZrPb2
_chemical_formula_sum 'Ca1 Zr1 Pb2'
_symmetry_space_group_name_H-M 'P 1'
_symmetry_Int_Tables_number 1
_cell_length_a 3.436
_cell_length_b 4.359
_cell_length_c 7.137
_cell_angle_alpha 90.00
_cell_angle_beta 90.00
_cell_angle_gamma 90.00
loop_
_symmetry_equiv_pos_as_xyz
'x,y,z'
loop_
_atom_site_label
_atom_site_type_symbol
_atom_site_fract_x
_atom_site_fract_y
_atom_site_fract_z
_atom_site_occupancy
Pb1 Pb 0.000 0.000 0.481 1
Ca1 Ca 0.500 0.500 0.750 1
Pb2 Pb 0.000 0.000 0.019 1
Zr1 Zr 0.500 0.500 0.250 1
```

formation energy from the elements = -253 meV per atom
crystal system = orthorhombic
total moment = 0.447 μB/f.u.

***

CaZrPb2 | PBE | optimized geometry

```
data_CaZrPb2
_chemical_formula_sum 'Ca1 Zr1 Pb2'
_symmetry_space_group_name_H-M 'P 1'
_symmetry_Int_Tables_number 1
_cell_length_a 4.243
_cell_length_b 4.243
_cell_length_c 6.290
_cell_angle_alpha 90.00
_cell_angle_beta 90.00
_cell_angle_gamma 90.00
loop_
_symmetry_equiv_pos_as_xyz
'x,y,z'
loop_
_atom_site_label
_atom_site_type_symbol
_atom_site_fract_x
_atom_site_fract_y
_atom_site_fract_z
_atom_site_occupancy
Pb1 Pb 0.000 0.000 0.973 1
Ca1 Ca 0.500 0.500 0.776 1
Zr1 Zr 0.000 0.000 0.456 1
Pb2 Pb 0.500 0.500 0.296 1
```

formation energy from the elements = -41 meV per atom
crystal system = tetragonal
total moment = 0.000 μB/f.u.

***

CaZrPb2 | PBE | optimized geometry

```
data_CaZrPb2
_chemical_formula_sum 'Ca1 Zr1 Pb2'
_symmetry_space_group_name_H-M 'P 1'
_symmetry_Int_Tables_number 1
_cell_length_a 5.644
_cell_length_b 5.644
_cell_length_c 3.352
_cell_angle_alpha 90.00
_cell_angle_beta 90.00
_cell_angle_gamma 90.00
loop_
_symmetry_equiv_pos_as_xyz
'x,y,z'
loop_
_atom_site_label
_atom_site_type_symbol
_atom_site_fract_x
_atom_site_fract_y
_atom_site_fract_z
_atom_site_occupancy
Pb1 Pb 0.000 0.000 0.000 1
Zr1 Zr 0.500 0.000 0.500 1
Ca1 Ca 0.000 0.500 0.500 1
Pb2 Pb 0.500 0.500 0.000 1
```

formation energy from the elements = -170 meV per atom
crystal system = tetragonal
total moment = 0.000 μB/f.u.

***

CaZrPb2 | PBE | optimized geometry

```
data_CaZrPb2
_chemical_formula_sum 'Ca2 Zr2 Pb4'
_symmetry_space_group_name_H-M 'P 1'
_symmetry_Int_Tables_number 1
_cell_length_a 4.963
_cell_length_b 4.963
_cell_length_c 11.021
_cell_angle_alpha 76.99
_cell_angle_beta 76.99
_cell_angle_gamma 90.00
loop_
_symmetry_equiv_pos_as_xyz
'x,y,z'
loop_
_atom_site_label
_atom_site_type_symbol
_atom_site_fract_x
_atom_site_fract_y
_atom_site_fract_z
_atom_site_occupancy
Pb1 Pb 0.674 0.125 0.250 1
Pb2 Pb 0.375 0.326 0.750 1
Ca1 Ca 0.250 0.750 0.500 1
Pb3 Pb 0.076 0.625 0.250 1
Pb4 Pb 0.875 0.924 0.750 1
Ca2 Ca 0.500 0.500 0.000 1
Zr1 Zr 0.000 0.000 0.000 1
Zr2 Zr 0.750 0.250 0.500 1
```

formation energy from the elements = 219 meV per atom
crystal system = tetragonal
total moment = 1.242 μB/f.u.

***

CaZrPb2 | PBE | optimized geometry

```
data_CaZrPb2
_chemical_formula_sum 'Ca1 Zr1 Pb2'
_symmetry_space_group_name_H-M 'P 1'
_symmetry_Int_Tables_number 1
_cell_length_a 6.224
_cell_length_b 6.224
_cell_length_c 5.416
_cell_angle_alpha 100.82
_cell_angle_beta 100.82
_cell_angle_gamma 31.79
loop_
_symmetry_equiv_pos_as_xyz
'x,y,z'
loop_
_atom_site_label
_atom_site_type_symbol
_atom_site_fract_x
_atom_site_fract_y
_atom_site_fract_z
_atom_site_occupancy
Ca1 Ca 0.247 0.247 0.125 1
Zr1 Zr 0.499 0.499 0.621 1
Pb1 Pb 0.764 0.764 0.634 1
Pb2 Pb 0.990 0.990 0.120 1
```

formation energy from the elements = -203 meV per atom
crystal system = monoclinic
total moment = 0.000 μB/f.u.

***

Ca2ZrPb2 | PBE | optimized geometry

```
data_Ca2ZrPb2
_chemical_formula_sum 'Ca4 Zr2 Pb4'
_symmetry_space_group_name_H-M 'P 1'
_symmetry_Int_Tables_number 1
_cell_length_a 8.818
_cell_length_b 8.818
_cell_length_c 3.709
_cell_angle_alpha 90.00
_cell_angle_beta 90.00
_cell_angle_gamma 90.00
loop_
_symmetry_equiv_pos_as_xyz
'x,y,z'
loop_
_atom_site_label
_atom_site_type_symbol
_atom_site_fract_x
_atom_site_fract_y
_atom_site_fract_z
_atom_site_occupancy
Ca1 Ca 0.863 0.363 0.500 1
Zr1 Zr 0.500 0.500 0.000 1
Pb1 Pb 0.832 0.668 0.000 1
Pb2 Pb 0.332 0.832 0.000 1
Ca2 Ca 0.637 0.863 0.500 1
Ca3 Ca 0.363 0.137 0.500 1
Ca4 Ca 0.137 0.637 0.500 1
Zr2 Zr 0.000 0.000 0.000 1
Pb3 Pb 0.668 0.168 0.000 1
Pb4 Pb 0.168 0.332 0.000 1
```

formation energy from the elements = -172 meV per atom
crystal system = tetragonal
energy above the most stable polymorph in this dataset = 0.0000 eV per atom
total moment = 0.003 μB/f.u.

***

Ca2ZrPb2 | PBE | optimized geometry

```
data_Ca2ZrPb2
_chemical_formula_sum 'Ca2 Zr1 Pb2'
_symmetry_space_group_name_H-M 'P 1'
_symmetry_Int_Tables_number 1
_cell_length_a 4.496
_cell_length_b 4.496
_cell_length_c 8.860
_cell_angle_alpha 75.30
_cell_angle_beta 75.30
_cell_angle_gamma 90.00
loop_
_symmetry_equiv_pos_as_xyz
'x,y,z'
loop_
_atom_site_label
_atom_site_type_symbol
_atom_site_fract_x
_atom_site_fract_y
_atom_site_fract_z
_atom_site_occupancy
Pb1 Pb 0.250 0.750 0.500 1
Ca1 Ca 0.399 0.399 0.201 1
Zr1 Zr 0.000 0.000 0.000 1
Pb2 Pb 0.750 0.250 0.500 1
Ca2 Ca 0.601 0.601 0.799 1
```

formation energy from the elements = 382 meV per atom
crystal system = tetragonal
energy above the most stable polymorph in this dataset = 0.5540 eV per atom
total moment = 2.687 μB/f.u.